(1)
# Er4ZnIn3, relaxed, DFT PBE
# Calculated formation energy, eV per atom: -0.43
# Polymorph energy (0 for the lowest one), meV/atom: 0
# ρ, Mg/m³: 9.0
data_Er4ZnIn3
_chemical_formula_sum 'Er4 Zn1 In3'
_cell_length_a 3.575
_cell_length_b 3.575
_cell_length_c 15.615
_cell_angle_alpha 90.00
_cell_angle_beta 90.00
_cell_angle_gamma 90.00
_symmetry_space_group_name_H-M 'P 4/m m m'
_symmetry_Int_Tables_number 123
_symmetry_space_group_name_Hall '-P 4 2'
loop_
_atom_site_label
_atom_site_type_symbol
_atom_site_fract_x
_atom_site_fract_y
_atom_site_fract_z
Er1 Er 0.000 0.000 0.109
Er2 Er 0.000 0.000 0.369
Zn1 Zn 0.500 0.500 0.000
In1 In 0.500 0.500 0.238
In2 In 0.500 0.500 0.500



(2)
# ReAg4, relaxed, DFT PBE
# Calculated formation energy, eV per atom: 0.69
# Polymorph energy (0 for the lowest one), meV/atom: 0
# ρ, Mg/m³: 11.7
data_ReAg4
_chemical_formula_sum 'Re2 Ag8'
_cell_length_a 6.519
_cell_length_b 6.519
_cell_length_c 4.112
_cell_angle_alpha 90.00
_cell_angle_beta 90.00
_cell_angle_gamma 90.00
_symmetry_space_group_name_H-M 'I 4/m'
_symmetry_Int_Tables_number 87
_symmetry_space_group_name_Hall '-I 4'
loop_
_atom_site_label
_atom_site_type_symbol
_atom_site_fract_x
_atom_site_fract_y
_atom_site_fract_z
Re1 Re 0.000 0.000 0.000
Ag1 Ag 0.103 0.703 0.500